An optimized crystal structure of ScTeIrI2, computed with GGA-PBE.

Cell lengths 5.5184, 5.5184, 5.7825 Å; angles 90.00, 90.00, 90.00 degrees
Each line ends with the local moment (μB).
Fractional coordinates of all 5 atoms:
I  0.0000  0.5000  0.0000  0.05
I  0.5000  0.0000  0.0000  0.05
Sc  0.0000  0.0000  0.0000  0.04
Ir  0.5000  0.5000  0.5000  2.19
Te  0.0000  0.0000  0.5000  0.03

## Properties
The uncorrected formation energy comes out at 0.655 eV per atom. The offset from the most stable computed form comes out at 0.3718 eV/atom. For the density of states at the Fermi level, the calculation gives 9.64 states/eV per cell.